VASP calculation (PBE-GGA) on Pr12Te3N5 after structural relaxation.

Unit cell a=16.354 b=16.354 c=16.354 alpha=90.00 beta=90.00 gamma=90.00
Space group Ia-3d (No. 230)
Unique sites:
Pr  0.038  0.050  0.648
Te  0.000  0.250  0.125
N  0.000  0.000  0.000
N  0.000  0.250  0.375

Values from the calculation:
Formation energy (no corrections) = -1830.8 kJ/mol of formula units
M_tot = 0.00 μB per formula unit